The following is a PBE calculation of LaF after structural relaxation, from the Alexandria database.

Cell lengths 10.179, 10.179, 4.088 Å; angles 90.00, 90.00, 90.00 degrees
Each line ends with the local moment (μB).
Element x y z (fractional)
La 0.432 0.220 0.000  0.26
La 0.568 0.780 0.000  0.26
La 0.780 0.432 0.000  0.26
La 0.220 0.568 0.000  0.26
La 0.932 0.720 0.500  0.26
La 0.068 0.280 0.500  0.26
La 0.280 0.932 0.500  0.26
La 0.720 0.068 0.500  0.26
F 0.327 0.790 0.000  0.01
F 0.673 0.210 0.000  0.01
F 0.210 0.327 0.000  0.01
F 0.790 0.673 0.000  0.01
F 0.827 0.290 0.500  0.01
F 0.173 0.710 0.500  0.01
F 0.710 0.827 0.500  0.01
F 0.290 0.173 0.500  0.01

Calculated values
SG: I4/m, No. 87
Energy relative to the lowest polymorph listed for this composition: 131.5 meV per atom
Formation energy (no corrections): -2.48 eV/atom

---

The following is a PBE calculation of NaSrDyCl6 after structural relaxation, from the Alexandria database.

Cell lengths 7.208, 7.208, 12.257 Å; angles 90.00, 90.00, 120.00 degrees
Element x y z (fractional)
Na 0.000 0.000 0.000
Na 0.000 0.000 0.500
Sr 0.333 0.667 0.250
Sr 0.667 0.333 0.750
Dy 0.667 0.333 0.250
Dy 0.333 0.667 0.750
Cl 0.666 0.639 0.129
Cl 0.973 0.334 0.129
Cl 0.334 0.973 0.629
Cl 0.027 0.666 0.871
Cl 0.361 0.334 0.371
Cl 0.973 0.639 0.371
Cl 0.639 0.973 0.871
Cl 0.666 0.027 0.371
Cl 0.027 0.361 0.629
Cl 0.361 0.027 0.129
Cl 0.639 0.666 0.629
Cl 0.334 0.361 0.871

Calculated values
SG: P-31c, No. 163
Formation energy (no corrections): -2.24 eV/atom